# 1
Compound: Pa2H3N
Source: the Alexandria database
Functional: PBE
Structure: relaxed

The structure in extended XYZ format:
```
12
Lattice="5.314 -0.004 -0.002 0.002 5.314 -0.002 0.004 0.004 5.314" Properties=species:S:1:pos:R:3 pbc="T T T"
H 3.990 3.986 3.981
H 1.329 1.328 1.328
H 1.333 3.987 3.983
N 3.988 3.983 1.325
Pa 2.659 0.000 2.656
N 1.332 1.331 3.984
Pa 0.003 2.659 2.656
Pa 0.000 0.000 0.000
H 3.987 1.327 1.326
Pa 2.658 2.655 -0.002
H 1.332 3.986 1.326
H 3.988 1.328 3.983
```

Values from the calculation:
density = 10.6 g cm⁻³
electronic total energy = -6.953 eV/atom
SG = No. 224


# 2
Compound: PrPaHN2
Source: the Alexandria database
Functional: PBE
Structure: relaxed

The structure in extended XYZ format:
```
10
Lattice="3.523 0.000 0.000 0.000 3.523 0.000 0.000 0.000 11.503" Properties=species:S:1:pos:R:3 pbc="T T T"
Pr 0.000 1.761 4.131
H 1.761 1.761 5.751
H 0.000 0.000 5.751
N 1.761 0.000 3.383
N 0.000 1.761 1.298
Pa 0.000 1.761 10.207
Pa 1.761 0.000 1.296
N 1.761 0.000 10.205
Pr 1.761 0.000 7.371
N 0.000 1.761 8.120
```

Values from the calculation:
density = 9.3 g cm⁻³
electronic total energy = -8.161 eV/atom
SG = No. 129


- What is the density in the second record?
  9.3 g cm⁻³


- Which of these has the lowest electronic total energy?
  PrPaHN2